1.
This record from the Alexandria database describes a geometry-optimized La2GaPd2 structure. The functional is GGA-PBE.

It has space group I4/mmm (No. 139), with a = 3.8642 Å, b = 3.8642 Å, c = 16.8608 Å, α = 90.00°, β = 90.00° and γ = 90.00°. Symmetry generates all atoms from La at (0.0000, 0.0000, 0.1130), Ga at (0.0000, 0.0000, 0.5000) and Pd at (0.0000, 0.5000, 0.2500).

Its theoretical density is 7.39 g/cm3. The value obtained for the energy of formation is -0.5634 eV per atom.


2.
This record from the Alexandria database describes a geometry-optimized La2Ga3Pd structure. The functional is GGA-PBE.

It has space group Fmmm (No. 69), with a = 7.9584 Å, b = 9.0237 Å, c = 15.6888 Å, α = 90.00°, β = 90.00° and γ = 90.00°. Symmetry generates all atoms from La at (0.2324, 0.0000, 0.0000), La at (0.2500, 0.2500, 0.2500), Ga at (0.0000, 0.0000, 0.3356), Ga at (0.0000, 0.2461, 0.4164) and Pd at (0.0000, 0.0000, 0.1687).

Its theoretical density is 7.00 g/cm3. The value obtained for the energy of formation is -0.7499 eV per atom.


3.
This record from the Alexandria database describes a geometry-optimized La4Ga16Pd3 structure. The functional is GGA-PBE.

It has space group P4/mmm (No. 123), with a = 6.3629 Å, b = 6.3629 Å, c = 11.4517 Å, α = 90.00°, β = 90.00° and γ = 90.00°. Symmetry generates all atoms from La at (0.0000, 0.5000, 0.1929), Ga at (0.0000, 0.0000, 0.2000), Ga at (0.2080, 0.2080, 0.0000), Ga at (0.2460, 0.2460, 0.3808), Ga at (0.5000, 0.5000, 0.2339), Pd at (0.0000, 0.5000, 0.5000) and Pd at (0.5000, 0.5000, 0.0000).

Its theoretical density is 7.13 g/cm3. The value obtained for the energy of formation is -0.6019 eV per atom.


4.
This record from the Alexandria database describes a geometry-optimized La5GaPd2 structure. The functional is GGA-PBE.

It has space group I4/mcm (No. 140), with a = 8.1666 Å, b = 8.1666 Å, c = 13.6675 Å, α = 90.00°, β = 90.00° and γ = 90.00°. Symmetry generates all atoms from La at (0.0000, 0.0000, 0.0000), La at (0.1626, 0.3374, 0.1457), Ga at (0.0000, 0.0000, 0.2500) and Pd at (0.1293, 0.3707, 0.5000).

Its theoretical density is 7.12 g/cm3. The value obtained for the energy of formation is -0.5589 eV per atom.


5.
This record from the Alexandria database describes a geometry-optimized LaGa4Pd8 structure. The functional is GGA-PBE.

It has space group I4/mmm (No. 139), with a = 8.9075 Å, b = 8.9075 Å, c = 5.4264 Å, α = 90.00°, β = 90.00° and γ = 90.00°. Symmetry generates all atoms from La at (0.0000, 0.0000, 0.0000), Ga at (0.2500, 0.2500, 0.2500), Pd at (0.0000, 0.2251, 0.5000) and Pd at (0.0000, 0.3381, 0.0000).

Its theoretical density is 9.79 g/cm3. The value obtained for the energy of formation is -0.6695 eV per atom.


6.
This record from the Alexandria database describes a geometry-optimized La3Ga4Pd structure. The functional is GGA-PBE.

It has space group Immm (No. 71), with a = 4.7808 Å, b = 5.2497 Å, c = 17.1053 Å, α = 90.00°, β = 90.00° and γ = 90.00°. Symmetry generates all atoms from La at (0.0000, 0.0000, 0.0000), La at (0.0000, 0.5000, 0.2067), Ga at (0.0000, 0.2628, 0.3789) and Pd at (0.0000, 0.0000, 0.5000).

Its theoretical density is 6.20 g/cm3. The value obtained for the energy of formation is -0.4708 eV per atom.


7.
This record from the Alexandria database describes a geometry-optimized LaGa3Pd5 structure. The functional is GGA-PBE.

It has space group Cmcm (No. 63), with a = 3.9422 Å, b = 13.0941 Å, c = 13.0113 Å, α = 90.00°, β = 90.00° and γ = 90.00°. Symmetry generates all atoms from La at (0.0000, 0.1422, 0.2500), Ga at (0.0000, 0.1208, 0.7500), Ga at (0.0000, 0.3805, 0.5385), Pd at (0.0000, 0.0000, 0.0000), Pd at (0.0000, 0.1989, 0.5726) and Pd at (0.0000, 0.4549, 0.1462).

Its theoretical density is 8.70 g/cm3. The value obtained for the energy of formation is -0.6830 eV per atom.


8.
This record from the Alexandria database describes a geometry-optimized LaGa5Pd3 structure. The functional is GGA-PBE.

It has space group Cmcm (No. 63), with a = 4.1311 Å, b = 13.0034 Å, c = 12.7539 Å, α = 90.00°, β = 90.00° and γ = 90.00°. Symmetry generates all atoms from La at (0.0000, 0.1657, 0.2500), Ga at (0.0000, 0.0000, 0.0000), Ga at (0.0000, 0.2011, 0.5610), Ga at (0.0000, 0.4405, 0.1514), Pd at (0.0000, 0.1350, 0.7500) and Pd at (0.0000, 0.3920, 0.5486).

Its theoretical density is 7.82 g/cm3. The value obtained for the energy of formation is -0.5919 eV per atom.


9.
This record from the Alexandria database describes a geometry-optimized La2GaPd2 structure. The functional is GGA-PBE.

It has space group C2/m (No. 12), with a = 11.3700 Å, b = 4.3806 Å, c = 10.8970 Å, α = 90.00°, β = 118.37° and γ = 90.00°. Symmetry generates all atoms from La at (0.0072, 0.0000, 0.3359), La at (0.1858, 0.0000, 0.1131), Ga at (0.2223, 0.5000, 0.3576), Pd at (0.0210, 0.5000, 0.8793) and Pd at (0.1448, 0.5000, 0.5652).

Its theoretical density is 7.79 g/cm3. The value obtained for the energy of formation is -0.8003 eV per atom.


10.
This record from the Alexandria database describes a geometry-optimized La3GaPd3 structure. The functional is GGA-PBE.

It has space group C2/m (No. 12), with a = 11.5497 Å, b = 4.2145 Å, c = 15.0742 Å, α = 90.00°, β = 110.21° and γ = 90.00°. Symmetry generates all atoms from La at (0.0280, 0.0000, 0.3853), La at (0.1010, 0.0000, 0.9238), La at (0.2378, 0.0000, 0.2307), Ga at (0.2405, 0.5000, 0.4023), Pd at (0.0338, 0.5000, 0.2358), Pd at (0.1248, 0.5000, 0.0751) and Pd at (0.1331, 0.5000, 0.5444).

Its theoretical density is 7.77 g/cm3. The value obtained for the energy of formation is -0.7994 eV per atom.


11.
This record from the Alexandria database describes a geometry-optimized La2Ga3Pd2 structure. The functional is GGA-PBE.

It has space group C2/m (No. 12), with a = 10.4541 Å, b = 4.5061 Å, c = 6.9031 Å, α = 90.00°, β = 114.65° and γ = 90.00°. Symmetry generates all atoms from La at (0.1487, 0.0000, 0.2711), Ga at (0.0000, 0.5000, 0.5000), Ga at (0.1171, 0.5000, 0.9330) and Pd at (0.1354, 0.0000, 0.7237).

Its theoretical density is 7.86 g/cm3. The value obtained for the energy of formation is -0.7625 eV per atom.


12.
This record from the Alexandria database describes a geometry-optimized La4Ga12Pd structure. The functional is GGA-PBE.

It has space group Im-3m (No. 229), with a = 8.9331 Å, b = 8.9331 Å, c = 8.9331 Å, α = 90.00°, β = 90.00° and γ = 90.00°. Symmetry generates all atoms from La at (0.2500, 0.2500, 0.2500), Ga at (0.0000, 0.0000, 0.2978), Ga at (0.0000, 0.2500, 0.5000) and Pd at (0.0000, 0.0000, 0.0000).

Its theoretical density is 6.98 g/cm3. The value obtained for the energy of formation is -0.6164 eV per atom.


13.
This record from the Alexandria database describes a geometry-optimized LaGa2Pd structure. The functional is GGA-PBE.

It has space group R-3m (No. 166, hexagonal axes), with a = 4.3263 Å, b = 4.3263 Å, c = 16.0213 Å, α = 90.00°, β = 90.00° and γ = 120.00°. Symmetry generates all atoms from La at (0.0000, 0.0000, 0.0000), Ga at (0.0000, 0.0000, 0.2129) and Pd at (0.0000, 0.0000, 0.5000).

Its theoretical density is 7.38 g/cm3. The value obtained for the energy of formation is -0.7492 eV per atom.


14.
This record from the Alexandria database describes a geometry-optimized La2Ga2Pd structure. The functional is GGA-PBE.

It has space group C2/m (No. 12), with a = 12.0698 Å, b = 4.6540 Å, c = 9.1318 Å, α = 90.00°, β = 111.68° and γ = 90.00°. Symmetry generates all atoms from La at (0.1141, 0.0000, 0.3994), La at (0.1455, 0.0000, 0.0007), Ga at (0.0446, 0.5000, 0.1548), Ga at (0.1011, 0.5000, 0.6698) and Pd at (0.2213, 0.0000, 0.7278).

Its theoretical density is 7.30 g/cm3. The value obtained for the energy of formation is -0.7492 eV per atom. As for the energy relative to the lowest polymorph listed for this composition: 0 meV/atom.


15.
This record from the Alexandria database describes a geometry-optimized La3Ga2Pd7 structure. The functional is GGA-PBE.

It has space group Cmmm (No. 65), with a = 4.2178 Å, b = 29.6687 Å, c = 4.1367 Å, α = 90.00°, β = 90.00° and γ = 90.00°. Symmetry generates all atoms from La at (0.0000, 0.0000, 0.0000), La at (0.0000, 0.2001, 0.0000), Ga at (0.0000, 0.4172, 0.5000), Pd at (0.0000, 0.1289, 0.5000), Pd at (0.0000, 0.2907, 0.5000), Pd at (0.0000, 0.3692, 0.0000) and Pd at (0.0000, 0.5000, 0.5000).

Its theoretical density is 8.35 g/cm3. The value obtained for the energy of formation is -0.6770 eV per atom. As for the energy relative to the lowest polymorph listed for this composition: 98 meV/atom.


16.
This record from the Alexandria database describes a geometry-optimized La8GaPd2 structure. The functional is GGA-PBE.

It has space group Cm (No. 8), with a = 8.7523 Å, b = 13.7654 Å, c = 5.8717 Å, α = 90.00°, β = 102.92° and γ = 90.00°. Symmetry generates all atoms from La at (0.0000, 0.0000, 0.0000), La at (0.0407, 0.3849, 0.7846), La at (0.1508, 0.1294, 0.5556), La at (0.2421, 0.5000, 0.3844), La at (0.3428, 0.2373, 0.1767), Ga at (0.3695, 0.0000, 0.2622) and Pd at (0.3554, 0.3131, 0.6971).

Its theoretical density is 6.71 g/cm3. The value obtained for the energy of formation is -0.2984 eV per atom.


17.
This record from the Alexandria database describes a geometry-optimized LaGa3Pd3 structure. The functional is GGA-PBE.

It has space group Pm-3n (No. 223), with a = 6.8284 Å, b = 6.8284 Å, c = 6.8284 Å, α = 90.00°, β = 90.00° and γ = 90.00°. Symmetry generates all atoms from La at (0.0000, 0.0000, 0.0000), Ga at (0.0000, 0.2500, 0.5000) and Pd at (0.0000, 0.5000, 0.2500).

Its theoretical density is 6.96 g/cm3. The value obtained for the energy of formation is -0.4239 eV per atom. As for the energy relative to the lowest polymorph listed for this composition: 280 meV/atom.


18.
This record from the Alexandria database describes a geometry-optimized La2Ga4Pd3 structure. The functional is GGA-PBE.

It has space group Cmce (No. 64), with a = 6.0240 Å, b = 15.4881 Å, c = 7.6910 Å, α = 90.00°, β = 90.00° and γ = 90.00°. Symmetry generates all atoms from La at (0.0000, 0.1158, 0.0869), Ga at (0.0000, 0.1771, 0.4875), Ga at (0.2500, 0.0572, 0.7500), Pd at (0.0000, 0.0000, 0.5000) and Pd at (0.2500, 0.2268, 0.7500).

Its theoretical density is 8.11 g/cm3. The value obtained for the energy of formation is -0.7510 eV per atom.


19.
This record from the Alexandria database describes a geometry-optimized LaGa6Pd2 structure. The functional is GGA-PBE.

It has space group Fd-3m (No. 227, origin choice 2), with a = 11.9308 Å, b = 11.9308 Å, c = 11.9308 Å, α = 90.00°, β = 90.00° and γ = 90.00°. Symmetry generates all atoms from La at (0.1250, 0.1250, 0.1250), Ga at (0.1149, 0.3750, 0.8750) and Pd at (0.0000, 0.0000, 0.5000).

Its theoretical density is 6.02 g/cm3. The value obtained for the energy of formation is -0.1480 eV per atom.


20.
This record from the Alexandria database describes a geometry-optimized LaGa6Pd4 structure. The functional is GGA-PBE.

It has space group P-6m2 (No. 187), with a = 7.3646 Å, b = 7.3646 Å, c = 4.1520 Å, α = 90.00°, β = 90.00° and γ = 120.00°. Symmetry generates all atoms from La at (0.0000, 0.0000, 0.0000), Ga at (0.1996, 0.3991, 0.5000), Ga at (0.5356, 0.0713, 0.0000), Pd at (0.3333, 0.6667, 0.0000) and Pd at (0.4061, 0.2031, 0.5000).

Its theoretical density is 8.37 g/cm3. The value obtained for the energy of formation is -0.6641 eV per atom.